KInPb2 | Alexandria via LeMat-Bulk | PBEsol | optimized geometry; DFT formation energy = -0.07 eV/atom
1.0
-2.009 -1.432 -2.591
1.440 -4.024 3.577
-5.733 2.089 3.291
Pb K In
2 1 1
direct
0.744 0.488 0.693 Pb
0.256 0.512 0.307 Pb
0.500 0.000 0.000 K
0.000 0.000 0.500 In